ZrPb3F | PBE | relaxed

- uncorrected energy (eV/atom) = -4.65
- total moment (μB/f.u.) = 0.00
- excess energy over the best structure of this formula in the dataset (kJ per mole of atoms) = 0.00

Unit cell a=5.0070 b=5.0070 c=5.0070 alpha=90.00 beta=90.00 gamma=90.00
Space group Pm-3m (No. 221)
Symmetry-distinct sites (fractional):
Zr  0.0000  0.0000  0.0000
Pb  0.0000  0.5000  0.5000
F  0.5000  0.5000  0.5000

=====

Th2In3Co2 | PBE | relaxed

- uncorrected energy (eV/atom) = -5.59
- total moment (μB/f.u.) = 0.00
- energy of formation from the pure elements (eV/f.u.) = -1.88

Unit cell a=3.7707 b=24.8505 c=3.7266 alpha=90.00 beta=90.00 gamma=90.00
Space group Cmmm (No. 65)
Symmetry-distinct sites (fractional):
Th  0.0000  0.0997  0.0000
In  0.0000  0.2944  0.5000
In  0.0000  0.5000  0.5000
Co  0.0000  0.3966  0.5000

=====

Question: Look up the total moment of the first one.
Answer: 0.00 μB/f.u.